1.
This record from Alexandria describes a geometry-optimized Sr3ScZn2O6 structure. The functional is GGA-PBE.

a b c (Å): 5.8858 5.8858 6.5034
angles (deg): 90.00 90.00 120.00
Space group P-3m1 (No. 164)
One atom of each set of equivalent atoms:
Sr  0.0000  0.0000  0.0000 [1 per cell]
Sr  0.3333  0.6667  0.6248 [2 per cell]
Sc  0.0000  0.0000  0.5000 [1 per cell]
Zn  0.3333  0.6667  0.1711 [2 per cell]
O  0.1643  0.3287  0.3053 [6 per cell]

Calculated values
- Calculated density: 4550 kg/m3
- Total DFT energy (no corrections): -5.89 eV/atom

2.
This record from Alexandria describes a geometry-optimized Sr2ScZnO structure. The functional is GGA-PBE.

a b c (Å): 5.4697 5.4697 4.1489
angles (deg): 90.00 90.00 90.00
Space group P4/mmm (No. 123)
One atom of each set of equivalent atoms:
Sr  0.0000  0.5000  0.0000 [2 per cell]
Sc  0.0000  0.0000  0.5000 [1 per cell]
Zn  0.5000  0.5000  0.5000 [1 per cell]
O  0.0000  0.0000  0.0000 [1 per cell]

Calculated values
- Calculated density: 4035 kg/m3
- Total DFT energy (no corrections): -4.31 eV/atom

3.
This record from Alexandria describes a geometry-optimized ScTaO2 structure. The functional is GGA-PBE.

a b c (Å): 3.1831 3.1831 18.3320
angles (deg): 90.00 90.00 120.00
Space group R-3m (No. 166, hexagonal axes)
One atom of each set of equivalent atoms:
Sc  0.0000  0.0000  0.0000 [3 per cell]
Ta  0.0000  0.0000  0.5000 [3 per cell]
O  0.0000  0.0000  0.3903 [6 per cell]

Calculated values
- Calculated density: 7987 kg/m3
- ΔE to the lowest computed polymorph: 0 meV per atom
- Total DFT energy (no corrections): -9.41 eV/atom

4.
This record from Alexandria describes a geometry-optimized ScTaO2 structure. The functional is GGA-PBE.

a b c (Å): 3.0208 3.0208 20.3859
angles (deg): 90.00 90.00 120.00
Space group R-3m (No. 166, hexagonal axes)
One atom of each set of equivalent atoms:
Sc  0.0000  0.0000  0.0000 [3 per cell]
Ta  0.0000  0.0000  0.5000 [3 per cell]
O  0.0000  0.0000  0.1023 [6 per cell]

Calculated values
- Calculated density: 7975 kg/m3
- ΔE to the lowest computed polymorph: 501 meV per atom
- Total DFT energy (no corrections): -8.91 eV/atom

total DFT energy (no corrections) of number 2 (Sr2ScZnO)? -4.31 eV/atom

Among the records above, which one has the lowest calculated density? Sr2ScZnO